1.
# In2ReHgH

A geometry-optimized In2ReHgH structure (GGA-PBE, Alexandria via LeMat-Bulk).

Lattice parameters (Å, degrees): 5.4626 3.4961 5.4626 90.00 90.00 90.00
With the nearest neighbours (Å) after each atom.
Sites, in units of the cell vectors:
In (0.0000, 0.0000, 0.5000)  2 Re 2.73
In (0.5000, 0.0000, 0.0000)  2 Re 2.73
Hg (0.5000, 0.5000, 0.5000)  8 In 3.24, 2 Hg 3.50
Re (0.0000, 0.0000, 0.0000)  2 H 1.75
H (0.0000, 0.5000, 0.0000)  2 Re 1.75

Summary:
- total DFT energy (no corrections) (eV per atom) = -3.74
- space-group type = P4/mmm
- Fermi-level density of states (states/eV per atom) = 0.84

2.
# Er6TeAu2Se3

A geometry-optimized Er6TeAu2Se3 structure (GGA-PBE, Alexandria via LeMat-Bulk).

Lattice parameters (Å, degrees): 4.0224 8.4902 9.4621 107.74 102.27 90.00
With the nearest neighbours (Å) after each atom.
Sites, in units of the cell vectors:
Er (0.0120, 0.2742, 0.0239)  3 Se 2.83-2.99, 1 Au 2.98, 2 Te 3.03
Se (0.8422, 0.1418, 0.6844)  6 Er 2.94-3.02
Au (0.1817, 0.3766, 0.3634)  6 Er 2.89-2.98
Au (0.8183, 0.6234, 0.6366)  6 Er 2.89-2.98
Se (0.1578, 0.8582, 0.3156)  6 Er 2.94-3.02
Te (0.5000, 0.0000, 0.0000)  6 Er 3.03-3.10
Er (0.3401, 0.3922, 0.6801)  3 Se 2.81-2.94, 3 Au 2.89-2.92
Se (0.5000, 0.5000, 0.0000)  6 Er 2.81-2.83
Er (0.9880, 0.7258, 0.9761)  3 Se 2.83-2.99, 1 Au 2.98, 2 Te 3.03
Er (0.6766, 0.1233, 0.3532)  2 Au 2.92, 3 Se 2.96-3.02, 1 Te 3.10
Er (0.6599, 0.6078, 0.3199)  3 Se 2.81-2.94, 3 Au 2.89-2.92
Er (0.3234, 0.8767, 0.6468)  2 Au 2.92, 3 Se 2.96-3.02, 1 Te 3.10

Summary:
- total DFT energy (no corrections) (eV per atom) = -5.30
- energy relative to the elements, uncorrected (eV per atom) = -1.34
- space-group type = C2/m
- Fermi-level density of states (states/eV per atom) = 0.37

3.
# Zr8Mo

A geometry-optimized Zr8Mo structure (GGA-PBE, Alexandria via LeMat-Bulk).

Lattice parameters (Å, degrees): 6.8146 6.8146 6.8146 97.63 97.63 137.27
With the nearest neighbours (Å) after each atom.
Sites, in units of the cell vectors:
Zr (0.0000, 0.3179, 0.3179)  1 Mo 2.85, 2 Zr 3.02
Mo (0.0000, 0.0000, 0.0000)  4 Zr 2.85
Zr (0.0000, 0.6821, 0.6821)  1 Mo 2.85, 2 Zr 3.02
Zr (0.6821, 0.0000, 0.6821)  1 Mo 2.85, 2 Zr 3.02
Zr (0.6642, 0.3358, 0.0000)  8 Zr 2.95-3.20, 2 Mo 3.24
Zr (0.3358, 0.3358, 0.6715)  8 Zr 2.95-3.20, 2 Mo 3.24
Zr (0.6642, 0.6642, 0.3285)  8 Zr 2.95-3.20, 2 Mo 3.24
Zr (0.3358, 0.6642, 0.0000)  8 Zr 2.95-3.20, 2 Mo 3.24
Zr (0.3179, 0.0000, 0.3179)  1 Mo 2.85, 2 Zr 3.02

Summary:
- total DFT energy (no corrections) (eV per atom) = -8.67
- space-group type = I4/mmm
- formation enthalpy at 0 K (kJ/mol of formula units) = 116
- Fermi-level density of states (states/eV per atom) = 1.91

4.
# BeAs2RuCl

A geometry-optimized BeAs2RuCl structure (GGA-PBE, Alexandria via LeMat-Bulk).

Lattice parameters (Å, degrees): 4.7057 4.4787 4.7057 90.00 90.00 90.00
With the nearest neighbours (Å) after each atom.
Sites, in units of the cell vectors:
As (0.5000, 0.0000, 0.0000)  2 Ru 2.35
Cl (0.5000, 0.5000, 0.5000)  8 As 3.25, 4 Be 3.33
Be (0.0000, 0.5000, 0.0000)  2 Ru 2.24
As (0.0000, 0.0000, 0.5000)  2 Ru 2.35
Ru (0.0000, 0.0000, 0.0000)  2 Be 2.24, 4 As 2.35

Summary:
- total DFT energy (no corrections) (eV per atom) = -4.62
- energy relative to the elements, uncorrected (eV per atom) = 0.21
- space-group type = P4/mmm
- Fermi-level density of states (states/eV per atom) = 0.48

5.
# HfV4Ru5

A geometry-optimized HfV4Ru5 structure (GGA-PBE, Alexandria via LeMat-Bulk).

Lattice parameters (Å, degrees): 2.9922 2.9922 16.0736 90.00 90.00 90.00
With the nearest neighbours (Å) after each atom.
Sites, in units of the cell vectors:
V (0.0000, 0.0000, 0.7891)  8 Ru 2.53-2.67
V (0.0000, 0.0000, 0.4040)  8 Ru 2.58-2.62
Ru (0.5000, 0.5000, 0.6877)  8 V 2.58-2.67
Ru (0.5000, 0.5000, 0.3123)  8 V 2.58-2.67
Ru (0.5000, 0.5000, 0.8748)  4 V 2.53
Ru (0.5000, 0.5000, 0.5000)  8 V 2.62
V (0.0000, 0.0000, 0.2109)  8 Ru 2.53-2.67
Hf (0.0000, 0.0000, 0.0000)  8 Ru 2.92, 4 Hf 2.99
Ru (0.5000, 0.5000, 0.1252)  4 V 2.53
V (0.0000, 0.0000, 0.5960)  8 Ru 2.58-2.62

Summary:
- total DFT energy (no corrections) (eV per atom) = -9.60
- space-group type = P4/mmm
- formation enthalpy at 0 K (kJ/mol of formula units) = -308
- Fermi-level density of states (states/eV per atom) = 1.11

6.
# CaZrW2

A geometry-optimized CaZrW2 structure (GGA-PBE, Alexandria via LeMat-Bulk).

Lattice parameters (Å, degrees): 2.8827 2.8827 10.0135 90.00 90.00 108.97
With the nearest neighbours (Å) after each atom.
Sites, in units of the cell vectors:
W (0.0000, 0.0000, 0.4849)  4 W 2.88, 2 Zr 2.89, 2 Ca 3.14
Zr (0.5000, 0.5000, 0.2500)  4 Zr 2.88, 4 W 2.89
Ca (0.5000, 0.5000, 0.7500)  4 Ca 2.88, 4 W 3.14
W (0.0000, 0.0000, 0.0151)  4 W 2.88, 2 Zr 2.89, 2 Ca 3.14

Summary:
- total DFT energy (no corrections) (eV per atom) = -8.50
- space-group type = Cmmm
- formation enthalpy at 0 K (kJ/mol of formula units) = 236
- Fermi-level density of states (states/eV per atom) = 0.94

7.
# Tl2SiRu

A geometry-optimized Tl2SiRu structure (GGA-PBE, Alexandria via LeMat-Bulk).

Lattice parameters (Å, degrees): 5.2431 5.2431 5.2431 131.51 131.51 71.01
With the nearest neighbours (Å) after each atom.
Sites, in units of the cell vectors:
Si (0.7500, 0.2500, 0.5000)  8 Tl 3.03-3.05, 4 Ru 3.03
Tl (0.0000, 0.0000, 0.0000)  4 Si 3.03, 4 Tl 3.03, 4 Ru 3.05
Ru (0.5000, 0.5000, 0.0000)  8 Tl 3.03-3.05, 4 Si 3.03
Tl (0.2500, 0.7500, 0.5000)  4 Tl 3.03, 4 Ru 3.03, 4 Si 3.05

Summary:
- total DFT energy (no corrections) (eV per atom) = -4.13
- energy relative to the elements, uncorrected (eV per atom) = 0.73
- space-group type = I-4m2
- Fermi-level density of states (states/eV per atom) = 0.69

Magnetization values (in μB/atom) by entry order: 0.20, 0.00, 0.00, 0.00, 0.00, 0.00, 0.00.